Record 1
A geometry-optimized LiTbAu3O4 structure. Source: OQMD, functional PBE.

CIF file:
```
data_LiTbAu3O4
_symmetry_space_group_name_H-M 'P -4 3 m'
_symmetry_Int_Tables_number 215
_symmetry_space_group_name_Hall 'P -4 2 3'
_cell_length_a 5.4506
_cell_length_b 5.4506
_cell_length_c 5.4506
_cell_angle_alpha 90.00
_cell_angle_beta 90.00
_cell_angle_gamma 90.00
loop_
_atom_site_label
_atom_site_fract_x
_atom_site_fract_y
_atom_site_fract_z
_atom_site_occupancy
Li1 0.0000 0.0000 0.0000 1
Tb1 0.5000 0.5000 0.5000 1
Au1 0.0000 0.5000 0.5000 1
O1 0.2581 0.2581 0.2581 1
```

Output
Total energy, eV per atom: -4.5216
Crystal system: cubic

Record 2
A geometry-optimized KPmPr structure. Source: OQMD, functional PBE.

CIF file:
```
data_KPmPr
_symmetry_space_group_name_H-M 'F -4 3 m'
_symmetry_Int_Tables_number 216
_symmetry_space_group_name_Hall 'F -4 2 3'
_cell_length_a 8.4140
_cell_length_b 8.4140
_cell_length_c 8.4140
_cell_angle_alpha 90.00
_cell_angle_beta 90.00
_cell_angle_gamma 90.00
loop_
_atom_site_label
_atom_site_fract_x
_atom_site_fract_y
_atom_site_fract_z
_atom_site_occupancy
K1 0.0000 0.0000 0.0000 1
Pm1 0.2500 0.2500 0.2500 1
Pr1 0.0000 0.0000 0.5000 1
```

Output
Excess energy over the best structure of this formula in the dataset, meV/atom: 0
Total energy, eV per atom: -2.4323
Crystal system: cubic

Record 3
A geometry-optimized GdDyMg3Ni2 structure. Source: OQMD, functional PBE.

CIF file:
```
data_GdDyMg3Ni2
_symmetry_space_group_name_H-M 'A m m 2'
_symmetry_Int_Tables_number 38
_cell_length_a 3.6527
_cell_length_b 3.9579
_cell_length_c 20.9714
_cell_angle_alpha 90.00
_cell_angle_beta 90.00
_cell_angle_gamma 90.00
loop_
_symmetry_equiv_pos_as_xyz
'x,y,z'
'-x,-y,z'
'-x,y,z'
'x,-y,z'
'x,y+1/2,z+1/2'
'-x,-y+1/2,z+1/2'
'-x,y+1/2,z+1/2'
'x,-y+1/2,z+1/2'
loop_
_atom_site_label
_atom_site_fract_x
_atom_site_fract_y
_atom_site_fract_z
_atom_site_occupancy
Gd1 0.0000 0.0000 0.0000 1
Dy1 0.0000 0.0000 0.6469 1
Mg1 0.0000 0.0000 0.8235 1
Mg2 0.5000 0.0000 0.2433 1
Mg3 0.5000 0.0000 0.4035 1
Ni1 0.5000 0.0000 0.1103 1
Ni2 0.5000 0.0000 0.5368 1
```

Output
Total energy, eV per atom: -3.8569
Crystal system: orthorhombic

Record 4
A geometry-optimized NaGdMgS3 structure. Source: OQMD, functional PBE.

CIF file:
```
data_NaGdMgS3
_symmetry_space_group_name_H-M 'P n m a'
_symmetry_Int_Tables_number 62
_cell_length_a 14.2187
_cell_length_b 4.0313
_cell_length_c 11.1709
_cell_angle_alpha 90.00
_cell_angle_beta 90.00
_cell_angle_gamma 90.00
loop_
_symmetry_equiv_pos_as_xyz
'x,y,z'
'-x,-y,-z'
'-x+1/2,-y,z+1/2'
'x+1/2,y,-z+1/2'
'x+1/2,-y+1/2,-z+1/2'
'-x+1/2,y+1/2,z+1/2'
'-x,y+1/2,-z'
'x,-y+1/2,z'
loop_
_atom_site_label
_atom_site_fract_x
_atom_site_fract_y
_atom_site_fract_z
_atom_site_occupancy
Na1 0.2124 0.2500 0.2054 1
Gd1 0.0378 0.7500 0.8553 1
Mg1 0.0362 0.2500 0.5962 1
S1 0.0602 0.2500 0.3770 1
S2 0.0893 0.7500 0.0876 1
S3 0.1496 0.2500 0.7583 1
```

Output
Excess energy over the best structure of this formula in the dataset, meV/atom: 0
Total energy, eV per atom: -4.9345
Crystal system: orthorhombic

Record 5
A geometry-optimized RbHfAu3S4 structure. Source: OQMD, functional PBE.

CIF file:
```
data_RbHfAu3S4
_symmetry_space_group_name_H-M 'P 1 21/m 1'
_symmetry_Int_Tables_number 11
_cell_length_a 6.1724
_cell_length_b 7.8212
_cell_length_c 10.1314
_cell_angle_alpha 90.00
_cell_angle_beta 106.14
_cell_angle_gamma 90.00
loop_
_symmetry_equiv_pos_as_xyz
'x,y,z'
'-x,-y,-z'
'-x,y+1/2,-z'
'x,-y+1/2,z'
loop_
_atom_site_label
_atom_site_fract_x
_atom_site_fract_y
_atom_site_fract_z
_atom_site_occupancy
Rb1 0.2292 0.2500 0.3760 1
Hf1 0.1217 0.2500 0.7903 1
Au1 0.2800 0.5658 0.9783 1
Au2 0.4006 0.7500 0.2413 1
S1 0.0650 0.2500 0.0219 1
S2 0.1915 0.7500 0.4099 1
S3 0.3313 0.5015 0.7525 1
```

Output
Excess energy over the best structure of this formula in the dataset, meV/atom: 4
Total energy, eV per atom: -4.7904
Crystal system: monoclinic

Record 6
A geometry-optimized K2Zn5Pb3 structure. Source: OQMD, functional PBE.

CIF file:
```
data_K2Zn5Pb3
_symmetry_space_group_name_H-M 'I 4/m m m'
_symmetry_Int_Tables_number 139
_symmetry_space_group_name_Hall '-I 4 2'
_cell_length_a 5.1973
_cell_length_b 5.1973
_cell_length_c 20.7396
_cell_angle_alpha 90.00
_cell_angle_beta 90.00
_cell_angle_gamma 90.00
loop_
_atom_site_label
_atom_site_fract_x
_atom_site_fract_y
_atom_site_fract_z
_atom_site_occupancy
K1 0.0000 0.0000 0.1849 1
Zn1 0.0000 0.0000 0.5000 1
Zn2 0.0000 0.5000 0.0676 1
Pb1 0.0000 0.0000 0.0000 1
Pb2 0.0000 0.0000 0.3649 1
```

Output
Total energy, eV per atom: -1.9497
Crystal system: tetragonal

Record 7
A geometry-optimized CuF2 structure. Source: OQMD, functional PBE.

CIF file:
```
data_CuF2
_symmetry_space_group_name_H-M 'R -3 m'
_symmetry_Int_Tables_number 166
_symmetry_space_group_name_Hall '-R 3 2"'
_cell_length_a 3.1392
_cell_length_b 3.1392
_cell_length_c 11.4187
_cell_angle_alpha 90.00
_cell_angle_beta 90.00
_cell_angle_gamma 120.00
loop_
_atom_site_label
_atom_site_fract_x
_atom_site_fract_y
_atom_site_fract_z
_atom_site_occupancy
Cu1 0.0000 0.0000 0.0000 1
F1 0.0000 0.0000 0.2540 1
```

Output
Total energy, eV per atom: -3.7995
Crystal system: trigonal

Record 8
A geometry-optimized Sr2TmZnS2O2 structure. Source: OQMD, functional PBE.

CIF file:
```
data_Sr2TmZnS2O2
_symmetry_space_group_name_H-M 'P 3 m 1'
_symmetry_Int_Tables_number 156
_cell_length_a 3.9364
_cell_length_b 3.9364
_cell_length_c 12.4235
_cell_angle_alpha 90.00
_cell_angle_beta 90.00
_cell_angle_gamma 120.00
loop_
_symmetry_equiv_pos_as_xyz
'x,y,z'
'-y,x-y,z'
'-x+y,-x,z'
'-y,-x,z'
'-x+y,y,z'
'x,x-y,z'
loop_
_atom_site_label
_atom_site_fract_x
_atom_site_fract_y
_atom_site_fract_z
_atom_site_occupancy
Sr1 0.0000 0.0000 0.0000 1
Sr2 0.3333 0.6667 0.5336 1
Tm1 0.6667 0.3333 0.2442 1
Zn1 0.6667 0.3333 0.7534 1
S1 0.0000 0.0000 0.3625 1
S2 0.3333 0.6667 0.8261 1
O1 0.6667 0.3333 0.0780 1
O2 0.6667 0.3333 0.6017 1
```

Output
Total energy, eV per atom: -5.4658
Crystal system: trigonal

Record 9
A geometry-optimized PdAu2F8 structure. Source: OQMD, functional PBE.

CIF file:
```
data_PdAu2F8
_symmetry_space_group_name_H-M 'P 1'
_symmetry_Int_Tables_number 1
_cell_length_a 3.3655
_cell_length_b 5.6783
_cell_length_c 13.1950
_cell_angle_alpha 89.97
_cell_angle_beta 89.84
_cell_angle_gamma 89.27
loop_
_symmetry_equiv_pos_as_xyz
'x,y,z'
loop_
_atom_site_label
_atom_site_fract_x
_atom_site_fract_y
_atom_site_fract_z
_atom_site_occupancy
Pd1 0.0000 0.0000 0.0000 1
Pd2 0.4941 0.4997 0.4999 1
Au1 0.2266 0.9968 0.6606 1
Au2 0.2628 0.5030 0.1607 1
Au3 0.7368 0.4970 0.8391 1
Au4 0.7624 0.0023 0.3391 1
F1 0.2020 0.4480 0.6234 1
F2 0.2340 0.2880 0.8721 1
F3 0.2384 0.6790 0.7892 1
F4 0.2459 0.6897 0.9838 1
F5 0.2495 0.8102 0.4836 1
F6 0.2630 0.2115 0.3717 1
F7 0.2631 0.8202 0.2893 1
F8 0.2879 0.0519 0.1237 1
F9 0.7123 0.9484 0.8765 1
F10 0.7254 0.1784 0.7106 1
F11 0.7267 0.7877 0.6277 1
F12 0.7389 0.1891 0.5161 1
F13 0.7544 0.3105 0.0162 1
F14 0.7620 0.3213 0.2107 1
F15 0.7647 0.7121 0.1278 1
F16 0.7869 0.5511 0.3766 1
```

Output
Total energy, eV per atom: -3.2027
Crystal system: triclinic

Record 10
A geometry-optimized Nd3BiS2 structure. Source: OQMD, functional PBE.

CIF file:
```
data_Nd3BiS2
_symmetry_space_group_name_H-M 'P -3 m 1'
_symmetry_Int_Tables_number 164
_symmetry_space_group_name_Hall '-P 3 2"'
_cell_length_a 4.2411
_cell_length_b 4.2411
_cell_length_c 10.4146
_cell_angle_alpha 90.00
_cell_angle_beta 90.00
_cell_angle_gamma 120.00
loop_
_atom_site_label
_atom_site_fract_x
_atom_site_fract_y
_atom_site_fract_z
_atom_site_occupancy
Nd1 0.0000 0.0000 0.0000 1
Nd2 0.3333 0.6667 0.3023 1
Bi1 0.0000 0.0000 0.5000 1
S1 0.3333 0.6667 0.8467 1
```

Output
Total energy, eV per atom: -6.0567
Crystal system: trigonal

Record 11
A geometry-optimized BaIn2Co structure. Source: OQMD, functional PBE.

CIF file:
```
data_BaIn2Co
_symmetry_space_group_name_H-M 'F -4 3 m'
_symmetry_Int_Tables_number 216
_symmetry_space_group_name_Hall 'F -4 2 3'
_cell_length_a 7.4103
_cell_length_b 7.4103
_cell_length_c 7.4103
_cell_angle_alpha 90.00
_cell_angle_beta 90.00
_cell_angle_gamma 90.00
loop_
_atom_site_label
_atom_site_fract_x
_atom_site_fract_y
_atom_site_fract_z
_atom_site_occupancy
Ba1 0.0000 0.0000 0.0000 1
In1 0.0000 0.0000 0.5000 1
In2 0.2500 0.2500 0.7500 1
Co1 0.2500 0.2500 0.2500 1
```

Output
Total energy, eV per atom: -3.3381
Crystal system: cubic

Record 12
A geometry-optimized Pa2S structure. Source: OQMD, functional PBE.

CIF file:
```
data_Pa2S
_symmetry_space_group_name_H-M 'P 42/m n m'
_symmetry_Int_Tables_number 136
_symmetry_space_group_name_Hall '-P 4n 2n'
_cell_length_a 6.4773
_cell_length_b 6.4773
_cell_length_c 3.6419
_cell_angle_alpha 90.00
_cell_angle_beta 90.00
_cell_angle_gamma 90.00
loop_
_atom_site_label
_atom_site_fract_x
_atom_site_fract_y
_atom_site_fract_z
_atom_site_occupancy
Pa1 0.2154 0.2154 0.0000 1
S1 0.0000 0.0000 0.5000 1
```

Output
Total energy, eV per atom: -8.3285
Crystal system: tetragonal

Record 13
A geometry-optimized NaSrSmSe3 structure. Source: OQMD, functional PBE.

CIF file:
```
data_NaSrSmSe3
_symmetry_space_group_name_H-M 'P n m a'
_symmetry_Int_Tables_number 62
_cell_length_a 11.1194
_cell_length_b 4.3380
_cell_length_c 13.9578
_cell_angle_alpha 90.00
_cell_angle_beta 90.00
_cell_angle_gamma 90.00
loop_
_symmetry_equiv_pos_as_xyz
'x,y,z'
'-x,-y,-z'
'-x+1/2,-y,z+1/2'
'x+1/2,y,-z+1/2'
'x+1/2,-y+1/2,-z+1/2'
'-x+1/2,y+1/2,z+1/2'
'-x,y+1/2,-z'
'x,-y+1/2,z'
loop_
_atom_site_label
_atom_site_fract_x
_atom_site_fract_y
_atom_site_fract_z
_atom_site_occupancy
Na1 0.2286 0.2500 0.2343 1
Sr1 0.2154 0.7500 0.0025 1
Sm1 0.0213 0.2500 0.7379 1
Se1 0.0344 0.2500 0.1181 1
Se2 0.0874 0.7500 0.6077 1
Se3 0.2342 0.7500 0.3457 1
```

Output
Excess energy over the best structure of this formula in the dataset, meV/atom: 123
Total energy, eV per atom: -4.6616
Crystal system: orthorhombic

Record 14
A geometry-optimized GaAu7 structure. Source: OQMD, functional PBE.

CIF file:
```
data_GaAu7
_symmetry_space_group_name_H-M 'P 4/n m m'
_symmetry_Int_Tables_number 129
_cell_length_a 2.9202
_cell_length_b 2.9202
_cell_length_c 47.8198
_cell_angle_alpha 90.00
_cell_angle_beta 90.00
_cell_angle_gamma 90.00
loop_
_symmetry_equiv_pos_as_xyz
'x,y,z'
'-x,-y,-z'
'-y+1/2,x,z'
'y+1/2,-x,-z'
'-x+1/2,-y+1/2,z'
'x+1/2,y+1/2,-z'
'y,-x+1/2,z'
'-y,x+1/2,-z'
'x+1/2,-y,-z'
'-x+1/2,y,z'
'-y,-x,-z'
'y,x,z'
'-x,y+1/2,-z'
'x,-y+1/2,z'
'y+1/2,x+1/2,-z'
'-y+1/2,-x+1/2,z'
loop_
_atom_site_label
_atom_site_fract_x
_atom_site_fract_y
_atom_site_fract_z
_atom_site_occupancy
Ga1 0.2500 0.2500 0.1678 1
Au1 0.2500 0.2500 0.2570 1
Au2 0.2500 0.2500 0.3456 1
Au3 0.2500 0.2500 0.4338 1
Au4 0.2500 0.2500 0.5220 1
Au5 0.2500 0.2500 0.6103 1
Au6 0.2500 0.2500 0.6986 1
Au7 0.2500 0.2500 0.7884 1
```

Output
Total energy, eV per atom: -3.2197
Crystal system: tetragonal

Record 15
A geometry-optimized Er5Sb3 structure. Source: OQMD, functional PBE.

CIF file:
```
data_Er5Sb3
_symmetry_space_group_name_H-M 'P 63/m c m'
_symmetry_Int_Tables_number 193
_symmetry_space_group_name_Hall '-P 6c 2'
_cell_length_a 8.8904
_cell_length_b 8.8904
_cell_length_c 6.2356
_cell_angle_alpha 90.00
_cell_angle_beta 90.00
_cell_angle_gamma 120.00
loop_
_atom_site_label
_atom_site_fract_x
_atom_site_fract_y
_atom_site_fract_z
_atom_site_occupancy
Er1 0.0000 0.2453 0.2500 1
Er2 0.3333 0.6667 0.0000 1
Sb1 0.0000 0.3898 0.7500 1
```

Output
Excess energy over the best structure of this formula in the dataset, meV/atom: 0
Total energy, eV per atom: -5.2850
Crystal system: hexagonal

Record 16
A geometry-optimized ZnCu2SnTe2Se2 structure. Source: OQMD, functional PBE.

CIF file:
```
data_ZnCu2SnTe2Se2
_symmetry_space_group_name_H-M 'F m m 2'
_symmetry_Int_Tables_number 42
_symmetry_space_group_name_Hall 'F 2 -2'
_cell_length_a 8.3930
_cell_length_b 8.4703
_cell_length_c 11.9166
_cell_angle_alpha 90.00
_cell_angle_beta 90.00
_cell_angle_gamma 90.00
loop_
_atom_site_label
_atom_site_fract_x
_atom_site_fract_y
_atom_site_fract_z
_atom_site_occupancy
Zn1 0.0000 0.0000 0.0000 1
Cu1 0.2500 0.2500 0.2705 1
Sn1 0.0000 0.0000 0.5034 1
Te1 0.0000 0.2371 0.1463 1
Se1 0.2420 0.0000 0.8736 1
```

Output
Excess energy over the best structure of this formula in the dataset, meV/atom: 8
Total energy, eV per atom: -3.5392
Crystal system: orthorhombic

Record 17
A geometry-optimized LuAlFeNi structure. Source: OQMD, functional PBE.

CIF file:
```
data_LuAlFeNi
_symmetry_space_group_name_H-M 'F -4 3 m'
_symmetry_Int_Tables_number 216
_symmetry_space_group_name_Hall 'F -4 2 3'
_cell_length_a 6.3291
_cell_length_b 6.3291
_cell_length_c 6.3291
_cell_angle_alpha 90.00
_cell_angle_beta 90.00
_cell_angle_gamma 90.00
loop_
_atom_site_label
_atom_site_fract_x
_atom_site_fract_y
_atom_site_fract_z
_atom_site_occupancy
Lu1 0.0000 0.0000 0.0000 1
Al1 0.2500 0.2500 0.2500 1
Fe1 0.0000 0.0000 0.5000 1
Ni1 0.2500 0.2500 0.7500 1
```

Output
Excess energy over the best structure of this formula in the dataset, meV/atom: 268
Total energy, eV per atom: -5.5647
Crystal system: cubic

Record 18
A geometry-optimized Y2ErAl3Cu3 structure. Source: OQMD, functional PBE.

CIF file:
```
data_Y2ErAl3Cu3
_symmetry_space_group_name_H-M 'A m m 2'
_symmetry_Int_Tables_number 38
_cell_length_a 4.0077
_cell_length_b 12.1313
_cell_length_c 7.0222
_cell_angle_alpha 90.00
_cell_angle_beta 90.00
_cell_angle_gamma 90.00
loop_
_symmetry_equiv_pos_as_xyz
'x,y,z'
'-x,-y,z'
'-x,y,z'
'x,-y,z'
'x,y+1/2,z+1/2'
'-x,-y+1/2,z+1/2'
'-x,y+1/2,z+1/2'
'x,-y+1/2,z+1/2'
loop_
_atom_site_label
_atom_site_fract_x
_atom_site_fract_y
_atom_site_fract_z
_atom_site_occupancy
Y1 0.0000 0.2070 0.0000 1
Er1 0.0000 0.0000 0.3794 1
Al1 0.5000 0.0000 0.0287 1
Al2 0.5000 0.1178 0.6743 1
Cu1 0.0000 0.0000 0.7900 1
Cu2 0.5000 0.1641 0.2937 1
```

Output
Total energy, eV per atom: -4.8926
Crystal system: orthorhombic

Record 19
A geometry-optimized Dy3Er4Te2Ir2 structure. Source: OQMD, functional PBE.

CIF file:
```
data_Dy3Er4Te2Ir2
_symmetry_space_group_name_H-M 'I m m 2'
_symmetry_Int_Tables_number 44
_cell_length_a 3.9211
_cell_length_b 15.6716
_cell_length_c 9.4406
_cell_angle_alpha 90.00
_cell_angle_beta 90.00
_cell_angle_gamma 90.00
loop_
_symmetry_equiv_pos_as_xyz
'x,y,z'
'-x,-y,z'
'-x,y,z'
'x,-y,z'
'x+1/2,y+1/2,z+1/2'
'-x+1/2,-y+1/2,z+1/2'
'-x+1/2,y+1/2,z+1/2'
'x+1/2,-y+1/2,z+1/2'
loop_
_atom_site_label
_atom_site_fract_x
_atom_site_fract_y
_atom_site_fract_z
_atom_site_occupancy
Dy1 0.0000 0.0000 0.0000 1
Dy2 0.0000 0.1317 0.5824 1
Er1 0.0000 0.3154 0.3721 1
Er2 0.0000 0.3536 0.7313 1
Te1 0.0000 0.0000 0.3367 1
Te2 0.0000 0.5000 0.2359 1
Ir1 0.0000 0.2375 0.0718 1
```

Output
Excess energy over the best structure of this formula in the dataset, meV/atom: 2
Total energy, eV per atom: -6.0253
Crystal system: orthorhombic

Record 20
A geometry-optimized Be2Re2O5 structure. Source: OQMD, functional PBE.

CIF file:
```
data_Be2Re2O5
_symmetry_space_group_name_H-M 'P 4/m m m'
_symmetry_Int_Tables_number 123
_symmetry_space_group_name_Hall '-P 4 2'
_cell_length_a 3.4144
_cell_length_b 3.4144
_cell_length_c 6.8865
_cell_angle_alpha 90.00
_cell_angle_beta 90.00
_cell_angle_gamma 90.00
loop_
_atom_site_label
_atom_site_fract_x
_atom_site_fract_y
_atom_site_fract_z
_atom_site_occupancy
Be1 0.0000 0.0000 0.2485 1
Re1 0.5000 0.5000 0.0000 1
Re2 0.5000 0.5000 0.5000 1
O1 0.0000 0.0000 0.0000 1
O2 0.0000 0.5000 0.3191 1
```

Output
Excess energy over the best structure of this formula in the dataset, meV/atom: 0
Total energy, eV per atom: -7.2489
Crystal system: tetragonal